# NdMgSc

Crystalline NdMgSc at its relaxed geometry (GGA-PBE, Alexandria via LeMat-Bulk).

**Spin magnetization**: 0.000 μB per atom
**V**: 27.5 A^3/atom
**E above lowest polymorph**: 105.4 meV per atom

a b c (Å): 5.3525 9.2978 3.3166
angles (deg): 90.00 90.00 90.00
With the nearest neighbours (Å) after each atom.
Space group Pma2 (No. 28)
Symmetry-distinct sites (fractional):
Nd: 0.2500 0.0780 0.0000 x2  4 Nd 3.04-3.32, 1 Mg 3.19
Mg: 0.2500 0.4211 0.9971 x2  4 Mg 3.05-3.32, 1 Nd 3.19, 2 Sc 3.35-3.36
Sc: 0.2500 0.7349 0.4992 x2  2 Sc 3.32, 6 Mg 3.35-3.47, 6 Nd 3.59-3.60

***

# TlSnO2

Crystalline TlSnO2 at its relaxed geometry (GGA-PBE, Alexandria via LeMat-Bulk).

**Spin magnetization**: 0.000 μB per atom
**V**: 18.1 A^3/atom
**E above lowest polymorph**: 0.0 meV per atom
**Formation energy without anion corrections**: -1.11 eV per atom

a b c (Å): 3.2978 3.2978 23.0017
angles (deg): 90.00 90.00 120.00
With the nearest neighbours (Å) after each atom.
Space group R-3m (No. 166, hexagonal axes)
Symmetry-distinct sites (fractional):
Tl: 0.0000 0.0000 0.0000 x3  2 O 2.81
Sn: 0.0000 0.0000 0.5000 x3  6 O 2.16
O: 0.0000 0.0000 0.1220 x6  3 Sn 2.16

***

# Tl2Sn3S6

Crystalline Tl2Sn3S6 at its relaxed geometry (GGA-PBE, Alexandria via LeMat-Bulk).

**Spin magnetization**: 0.000 μB per atom
**V**: 27.1 A^3/atom
**Formation energy without anion corrections**: -0.37 eV per atom

a b c (Å): 6.7342 11.5608 7.9822
angles (deg): 90.00 106.72 90.00
With the nearest neighbours (Å) after each atom.
Space group C2/m (No. 12)
Symmetry-distinct sites (fractional):
Tl: 0.0000 0.1711 0.0000 x4  6 S 3.19-3.25
Sn: 0.0000 0.0000 0.5000 x2  6 S 2.60-2.61
Sn: 0.0000 0.3322 0.5000 x4  6 S 2.72-2.76
S: 0.2270 0.1591 0.6955 x8  3 Sn 2.60-2.73
S: 0.2470 0.0000 0.3012 x4  3 Sn 2.61-2.76

***

# CuRh2S

Crystalline CuRh2S at its relaxed geometry (GGA-PBE, Alexandria via LeMat-Bulk).

**Spin magnetization**: 0.000 μB per atom
**V**: 14.9 A^3/atom
**Formation energy without anion corrections**: 0.10 eV per atom

a b c (Å): 6.7917 6.7917 5.1808
angles (deg): 90.00 90.00 90.00
With the nearest neighbours (Å) after each atom.
Space group I-42d (No. 122)
Symmetry-distinct sites (fractional):
Cu: 0.0000 0.0000 0.0000 x4  2 S 2.59, 8 Rh 2.82-2.86
Rh: 0.1833 0.7500 0.6250 x8  2 S 2.20
S: 0.0000 0.0000 0.5000 x4  4 Rh 2.20

***

# BeSi2Br

Crystalline BeSi2Br at its relaxed geometry (GGA-PBE, Alexandria via LeMat-Bulk).

**Spin magnetization**: 0.000 μB per atom
**V**: 19.7 A^3/atom
**E above lowest polymorph**: 196.0 meV per atom
**Formation energy without anion corrections**: 0.24 eV per atom

a b c (Å): 3.6246 3.6246 20.7973
angles (deg): 90.00 90.00 120.00
With the nearest neighbours (Å) after each atom.
Space group R3m (No. 160, hexagonal axes)
Symmetry-distinct sites (fractional):
Be: 0.0000 0.0000 0.0000 x3  3 Br 2.50, 3 Si 2.59
Si: 0.0000 0.0000 0.2601 x3  3 Si 2.32, 3 Be 2.59
Si: 0.0000 0.0000 0.5450 x3  3 Si 2.32
Br: 0.0000 0.0000 0.7322 x3  3 Be 2.50

***

# ZnBRu

Crystalline ZnBRu at its relaxed geometry (GGA-PBE, Alexandria via LeMat-Bulk).

**Spin magnetization**: 0.000 μB per atom
**V**: 11.6 A^3/atom
**Energy**: -66.42 eV per cell

a b c (Å): 7.2368 4.6914 4.1736
angles (deg): 90.00 99.86 90.00
With the nearest neighbours (Å) after each atom.
Space group C2/m (No. 12)
Symmetry-distinct sites (fractional):
Zn: 0.0784 0.0000 0.2701 x4  2 Zn 2.34-2.39, 1 B 2.36, 3 Ru 2.53-2.57
B: 0.0912 0.5000 0.6756 x4  1 B 1.80
Ru: 0.1926 0.5000 0.1870 x4  3 B 2.13-2.28

***

# CeHoRu2

Crystalline CeHoRu2 at its relaxed geometry (GGA-PBE, Alexandria via LeMat-Bulk).

**Spin magnetization**: 0.000 μB per atom
**V**: 20.0 A^3/atom
**Energy**: -30.65 eV per cell

a b c (Å): 3.4198 3.4198 6.8402
angles (deg): 90.00 90.00 90.00
With the nearest neighbours (Å) after each atom.
Space group P4/mmm (No. 123)
Symmetry-distinct sites (fractional):
Ce: 0.0000 0.0000 0.0000 x1  8 Ru 2.91
Ho: 0.0000 0.0000 0.5000 x1  8 Ru 3.02
Ru: 0.5000 0.5000 0.2363 x2  4 Ce 2.91, 4 Ho 3.02, 1 Ru 3.23

***

# Be4Cr2Sn

Crystalline Be4Cr2Sn at its relaxed geometry (GGA-PBE, Alexandria via LeMat-Bulk).

**Spin magnetization**: 1.010 μB per atom
**V**: 17.1 A^3/atom
**Energy**: -57.37 eV per cell

a b c (Å): 4.3709 4.3709 12.5123
angles (deg): 90.00 90.00 90.00
With the nearest neighbours (Å) after each atom.
Space group I4/mmm (No. 139)
Symmetry-distinct sites (fractional):
Be: 0.0000 0.0000 0.2013 x4  1 Cr 2.34, 1 Sn 2.52
Be: 0.0000 0.5000 0.0000 x4  2 Sn 2.19
Cr: 0.0000 0.0000 0.3884 x4  5 Be 2.34-2.59
Sn: 0.0000 0.0000 0.0000 x2  4 Be 2.19

***

# Pr2Y3Pt2

Crystalline Pr2Y3Pt2 at its relaxed geometry (GGA-PBE, Alexandria via LeMat-Bulk).

**Spin magnetization**: 0.000 μB per atom
**V**: 28.1 A^3/atom
**E above lowest polymorph**: 0.0 meV per atom

a b c (Å): 12.6182 3.7875 9.2465
angles (deg): 90.00 116.95 90.00
With the nearest neighbours (Å) after each atom.
Space group C2/m (No. 12)
Symmetry-distinct sites (fractional):
Pr: 0.1635 0.0000 0.3127 x4  2 Pt 3.04
Y: 0.0000 0.5000 0.5000 x2  4 Pt 2.97
Y: 0.1163 0.5000 0.9341 x4  3 Pt 2.88-2.99
Pt: 0.1691 0.0000 0.7414 x4  5 Y 2.88-2.99, 2 Pr 3.04

***

# Dy3BS6

Crystalline Dy3BS6 at its relaxed geometry (GGA-PBE, Alexandria via LeMat-Bulk).

**Spin magnetization**: 0.000 μB per atom
**V**: 21.6 A^3/atom
**Formation energy without anion corrections**: -1.63 eV per atom

a b c (Å): 10.5959 13.0393 6.2630
angles (deg): 90.00 90.00 90.00
With the nearest neighbours (Å) after each atom.
Space group Cmc2_1 (No. 36)
Symmetry-distinct sites (fractional):
Dy: 0.0000 0.1011 0.0000 x4  6 S 2.71-2.80
Dy: 0.1826 0.3983 0.0952 x8  6 S 2.65-2.93
B: 0.0000 0.3042 0.6438 x4  4 S 1.95-1.98
S: 0.0000 0.2921 0.3330 x4  1 B 1.95
S: 0.0000 0.4456 0.7587 x4  1 B 1.98
S: 0.1486 0.2432 0.7790 x8  1 B 1.96
S: 0.1621 0.0293 0.2987 x8  4 Dy 2.65-2.73

***

# K3GeB2O6

Crystalline K3GeB2O6 at its relaxed geometry (GGA-PBE, Alexandria via LeMat-Bulk).

**Spin magnetization**: 0.000 μB per atom
**V**: 14.3 A^3/atom
**Formation energy without anion corrections**: -1.86 eV per atom

a b c (Å): 5.3842 5.3842 6.8469
angles (deg): 90.00 90.00 120.00
With the nearest neighbours (Å) after each atom.
Space group P-3m1 (No. 164)
Symmetry-distinct sites (fractional):
K: 0.0000 0.0000 0.0000 x1  6 O 2.71
K: 0.3333 0.6667 0.7413 x2  6 O 2.72, 1 B 2.93
Ge: 0.0000 0.0000 0.5000 x1  6 O 2.16
B: 0.3333 0.6667 0.3140 x2  3 O 1.40
O: 0.1832 0.3663 0.3074 x6  1 B 1.40

***

# RbSI2O

Crystalline RbSI2O at its relaxed geometry (GGA-PBE, Alexandria via LeMat-Bulk).

**Spin magnetization**: 0.850 μB per atom
**V**: 44.1 A^3/atom
**E above lowest polymorph**: 1170.9 meV per atom
**Formation energy without anion corrections**: 0.80 eV per atom

a b c (Å): 7.0280 7.0280 4.4613
angles (deg): 90.00 90.00 90.00
With the nearest neighbours (Å) after each atom.
Space group P4/mmm (No. 123)
Symmetry-distinct sites (fractional):
Rb: 0.0000 0.0000 0.0000 x1  2 O 2.23
S: 0.5000 0.5000 0.5000 x1  8 I 4.16, 2 S 4.46
I: 0.0000 0.5000 0.0000 x2  2 Rb 3.51
O: 0.0000 0.0000 0.5000 x1  2 Rb 2.23

***

Please write out number 11 again, unchanged.
# K3GeB2O6

Crystalline K3GeB2O6 at its relaxed geometry (GGA-PBE, Alexandria via LeMat-Bulk).

**Spin magnetization**: 0.000 μB per atom
**V**: 14.3 A^3/atom
**Formation energy without anion corrections**: -1.86 eV per atom

a b c (Å): 5.3842 5.3842 6.8469
angles (deg): 90.00 90.00 120.00
With the nearest neighbours (Å) after each atom.
Space group P-3m1 (No. 164)
Symmetry-distinct sites (fractional):
K: 0.0000 0.0000 0.0000 x1  6 O 2.71
K: 0.3333 0.6667 0.7413 x2  6 O 2.72, 1 B 2.93
Ge: 0.0000 0.0000 0.5000 x1  6 O 2.16
B: 0.3333 0.6667 0.3140 x2  3 O 1.40
O: 0.1832 0.3663 0.3074 x6  1 B 1.40